Material: YTaCo2
Method: DFT, PBE
State: relaxed

Results
The calculation puts the formation energy from the elements at -57 meV/atom. The magnetic moment is 0.0000 μB per atom.

abc: 3.2679 4.0841 5.2964
angles: 90.00 107.88 90.00
With the nearest neighbours (Å) after each atom.
Fractional coordinates of all 4 atoms:
Y  0.0000  0.0000  0.0000  7 Co 2.65-2.90
Ta  0.2747  0.5000  0.5514  6 Co 2.49-2.64
Co  0.5888  0.5000  0.1782  2 Ta 2.49, 2 Co 2.53, 4 Y 2.77
Co  0.7359  0.0000  0.4742  2 Co 2.53, 4 Ta 2.64, 1 Y 2.65



Material: Ca2NbO4F
Method: DFT, PBE
State: relaxed

Results
The calculation puts the formation energy without anion corrections at -23.74 eV/f.u. The magnetic moment is 0.0000 μB per atom.

abc: 5.3941 5.3941 6.8825
angles: 115.08 115.08 34.54
With the nearest neighbours (Å) after each atom.
Fractional coordinates of all 8 atoms:
Ca  0.1821  0.1821  0.1758  4 O 2.29-2.55, 2 F 2.35
Ca  0.8179  0.8179  0.8242  4 O 2.29-2.55, 2 F 2.35
Nb  0.0000  0.0000  0.5000  6 O 1.96-2.09
O  0.1527  0.1527  0.7996  1 Nb 1.96
O  0.3911  0.3911  0.5573  2 Nb 2.09
O  0.6089  0.6089  0.4427  2 Nb 2.09
O  0.8473  0.8473  0.2004  1 Nb 1.96
F  0.5000  0.5000  0.0000  4 Ca 2.35



Material: LiCaIr2
Method: DFT, PBE
State: relaxed

Results
The calculation puts the formation energy from the elements at 67 meV/atom. The magnetic moment is 0.0000 μB per atom.

abc: 2.7998 2.7998 8.8947
angles: 90.00 90.00 113.96
With the nearest neighbours (Å) after each atom.
Fractional coordinates of all 4 atoms:
Li  0.0000  0.0000  0.0000  4 Ir 2.60, 4 Li 2.80
Ca  0.0000  0.0000  0.5000  4 Ir 2.80, 6 Ca 2.80-3.05
Ir  0.5000  0.5000  0.2366  2 Li 2.60, 2 Ca 2.80, 4 Ir 2.80
Ir  0.5000  0.5000  0.7634  2 Li 2.60, 2 Ca 2.80, 4 Ir 2.80



Material: ZnTcHRu2
Method: DFT, PBE
State: relaxed

Results
Its total energy is -32.4 eV/f.u. The magnetic moment is 0.0011 μB per atom.

abc: 3.9375 3.9375 3.8239
angles: 90.00 90.00 90.00
With the nearest neighbours (Å) after each atom.
Fractional coordinates of all 5 atoms:
Zn  0.0000  0.0000  0.0000  8 Ru 2.74, 4 Tc 2.78
Tc  0.5000  0.5000  0.0000  2 H 1.91
H  0.5000  0.5000  0.5000  2 Tc 1.91, 4 Ru 1.97
Ru  0.0000  0.5000  0.5000  2 H 1.97
Ru  0.5000  0.0000  0.5000  2 H 1.97



Material: Mg2Cd5Pd12
Method: DFT, PBE
State: relaxed

Results
The calculation puts the formation energy from the elements at -150 meV/atom. The magnetic moment is 0.0000 μB per atom.

abc: 9.3303 9.3303 7.8997
angles: 113.16 113.16 36.07
With the nearest neighbours (Å) after each atom.
Fractional coordinates of all 19 atoms:
Mg  0.2490  0.7510  0.0000  6 Pd 2.64-2.67, 2 Mg 2.88-2.90
Mg  0.7510  0.2490  0.0000  6 Pd 2.64-2.67, 2 Mg 2.88-2.90
Cd  0.2447  0.2447  0.9906  10 Pd 2.75-3.01, 2 Cd 2.89
Cd  0.2524  0.2524  0.5053  8 Pd 2.77-2.84, 2 Cd 2.89
Cd  0.5000  0.5000  0.5000  6 Pd 2.61-2.89
Cd  0.7476  0.7476  0.4947  8 Pd 2.77-2.84, 2 Cd 2.89
Cd  0.7553  0.7553  0.0094  10 Pd 2.75-3.01, 2 Cd 2.89
Pd  0.0723  0.0723  0.8264  2 Mg 2.66, 1 Cd 2.79, 6 Pd 2.80-2.92
Pd  0.0782  0.5922  0.8243  1 Mg 2.67, 5 Pd 2.74-2.97, 4 Cd 2.77-2.87
Pd  0.0960  0.5939  0.3483  5 Pd 2.80-2.91, 5 Cd 2.83-3.01
Pd  0.4061  0.9040  0.6517  5 Pd 2.80-2.91, 5 Cd 2.83-3.01
Pd  0.4078  0.9218  0.1757  1 Mg 2.67, 5 Pd 2.74-2.97, 4 Cd 2.77-2.87
Pd  0.4147  0.4147  0.1397  2 Cd 2.61-2.75, 2 Mg 2.64, 6 Pd 2.74-2.90
Pd  0.5853  0.5853  0.8603  2 Cd 2.61-2.75, 2 Mg 2.64, 6 Pd 2.74-2.90
Pd  0.5922  0.0782  0.8243  1 Mg 2.67, 5 Pd 2.74-2.97, 4 Cd 2.77-2.87
Pd  0.5939  0.0960  0.3483  5 Pd 2.80-2.91, 5 Cd 2.83-3.01
Pd  0.9040  0.4061  0.6517  5 Pd 2.80-2.91, 5 Cd 2.83-3.01
Pd  0.9218  0.4078  0.1757  1 Mg 2.67, 5 Pd 2.74-2.97, 4 Cd 2.77-2.87
Pd  0.9277  0.9277  0.1736  2 Mg 2.66, 1 Cd 2.79, 6 Pd 2.80-2.92



Material: NaNiSN2
Method: DFT, PBE
State: relaxed

Results
The calculation puts the formation energy without anion corrections at 11.62 eV/f.u. The magnetic moment is 1.3854 μB per atom.

abc: 4.2068 4.2068 5.3115
angles: 90.00 90.00 90.00
With the nearest neighbours (Å) after each atom.
Fractional coordinates of all 5 atoms:
Na  0.0000  0.0000  0.0000  4 N 2.10
Ni  0.5000  0.5000  0.5000  4 S 2.97
S  0.0000  0.0000  0.5000  2 Na 2.66
N  0.0000  0.5000  0.0000  2 Na 2.10
N  0.5000  0.0000  0.0000  2 Na 2.10



Material: K5IBr4
Method: DFT, PBE
State: relaxed

Results
The calculation puts the formation energy without anion corrections at -16.90 eV/f.u. The magnetic moment is 0.0000 μB per atom.

abc: 17.2737 17.2737 17.2737
angles: 164.00 164.00 22.70
With the nearest neighbours (Å) after each atom.
Fractional coordinates of all 10 atoms:
K  0.0000  0.0000  0.0000  4 I 3.40, 2 Br 3.41
K  0.2008  0.2008  0.0000  6 Br 3.32-3.40
K  0.3950  0.3950  0.0000  5 Br 3.26-3.40, 1 I 3.56
K  0.6050  0.6050  0.0000  5 Br 3.26-3.40, 1 I 3.56
K  0.7992  0.7992  0.0000  6 Br 3.32-3.40
I  0.5000  0.5000  0.0000  6 K 3.40-3.56
Br  0.1006  0.1006  0.0000  6 K 3.40-3.41
Br  0.2988  0.2988  0.0000  6 K 3.26-3.40
Br  0.7012  0.7012  0.0000  6 K 3.26-3.40
Br  0.8994  0.8994  0.0000  6 K 3.40-3.41



Material: BiBPb2
Method: DFT, PBE
State: relaxed

Results
The calculation puts the formation energy from the elements at 606 meV/atom. The magnetic moment is 0.0000 μB per atom.

abc: 7.5076 7.5076 7.5076
angles: 130.14 130.14 73.18
With the nearest neighbours (Å) after each atom.
Fractional coordinates of all 8 atoms:
Bi  0.0000  0.0000  0.0000  4 Pb 3.07
Bi  0.7500  0.2500  0.5000  4 Pb 3.07
B  0.2500  0.7500  0.5000  4 Pb 2.41
B  0.5000  0.5000  0.0000  4 Pb 2.41
Pb  0.2154  0.6250  0.0904  2 B 2.41
Pb  0.3750  0.4654  0.5904  2 B 2.41
Pb  0.5346  0.1250  0.9096  2 B 2.41
Pb  0.8750  0.7846  0.4096  2 B 2.41



Material: NdGd2Br
Method: DFT, PBE
State: relaxed

Results
The calculation puts the formation energy without anion corrections at -2.20 eV/f.u. The magnetic moment is 3.5759 μB per atom.

abc: 10.5750 10.5750 10.5750
angles: 20.19 20.19 20.19
With the nearest neighbours (Å) after each atom.
Fractional coordinates of all 4 atoms:
Nd  0.0000  0.0000  0.0000  6 Gd 3.57, 6 Nd 3.71
Gd  0.2414  0.2414  0.2414  3 Br 3.16
Gd  0.7586  0.7586  0.7586  3 Br 3.16
Br  0.5000  0.5000  0.5000  6 Gd 3.16



Material: PuTiFeCu
Method: DFT, PBE
State: relaxed

Results
The calculation puts the formation energy from the elements at 114 meV/atom. The magnetic moment is 1.1283 μB per atom.

abc: 4.5479 4.5479 4.5479
angles: 60.00 60.00 60.00
With the nearest neighbours (Å) after each atom.
Fractional coordinates of all 4 atoms:
Pu  0.0000  0.0000  0.0000  4 Fe 2.78, 4 Cu 2.78
Ti  0.5000  0.5000  0.5000  4 Cu 2.78, 4 Fe 2.78
Fe  0.7500  0.7500  0.7500  4 Ti 2.78, 4 Pu 2.78
Cu  0.2500  0.2500  0.2500  4 Ti 2.78, 4 Pu 2.78



Material: PmThPdPt
Method: DFT, PBE
State: relaxed

Results
The calculation puts the formation energy from the elements at -880 meV/atom. The magnetic moment is 0.0000 μB per atom.

abc: 5.1030 5.1030 5.1030
angles: 60.00 60.00 60.00
With the nearest neighbours (Å) after each atom.
Fractional coordinates of all 4 atoms:
Pm  0.0000  0.0000  0.0000  4 Pt 3.12, 4 Pd 3.12
Th  0.5000  0.5000  0.5000  4 Pd 3.12, 4 Pt 3.12
Pd  0.7500  0.7500  0.7500  4 Th 3.12, 4 Pm 3.12
Pt  0.2500  0.2500  0.2500  4 Th 3.12, 4 Pm 3.12



Material: Y2TeAu
Method: DFT, PBE
State: relaxed

Results
The calculation puts the formation energy without anion corrections at -3.97 eV/f.u. The magnetic moment is 0.0000 μB per atom.

abc: 4.2738 4.2738 6.1352
angles: 90.00 90.00 90.00
With the nearest neighbours (Å) after each atom.
Fractional coordinates of all 4 atoms:
Y  0.0000  0.0000  0.0000  4 Au 3.02, 2 Te 3.07
Y  0.5000  0.5000  0.5000  4 Te 3.02, 2 Au 3.07
Te  0.0000  0.0000  0.5000  6 Y 3.02-3.07
Au  0.5000  0.5000  0.0000  6 Y 3.02-3.07



Repeat the seventh record exactly.
Material: K5IBr4
Method: DFT, PBE
State: relaxed

Results
The calculation puts the formation energy without anion corrections at -16.90 eV/f.u. The magnetic moment is 0.0000 μB per atom.

abc: 17.2737 17.2737 17.2737
angles: 164.00 164.00 22.70
With the nearest neighbours (Å) after each atom.
Fractional coordinates of all 10 atoms:
K  0.0000  0.0000  0.0000  4 I 3.40, 2 Br 3.41
K  0.2008  0.2008  0.0000  6 Br 3.32-3.40
K  0.3950  0.3950  0.0000  5 Br 3.26-3.40, 1 I 3.56
K  0.6050  0.6050  0.0000  5 Br 3.26-3.40, 1 I 3.56
K  0.7992  0.7992  0.0000  6 Br 3.32-3.40
I  0.5000  0.5000  0.0000  6 K 3.40-3.56
Br  0.1006  0.1006  0.0000  6 K 3.40-3.41
Br  0.2988  0.2988  0.0000  6 K 3.26-3.40
Br  0.7012  0.7012  0.0000  6 K 3.26-3.40
Br  0.8994  0.8994  0.0000  6 K 3.40-3.41